Below is a geometry-optimized CaInMo2 structure, with properties calculated at the GGA-PBE level.

Formation enthalpy at 0 K   0.65 eV/atom

Lattice parameters (Å, degrees): 2.854 2.854 9.686 90.00 90.00 90.00
Space group P4/mmm (No. 123)
One atom of each set of equivalent atoms:
Ca 0.000 0.000 0.000 x1
In 0.000 0.000 0.500 x1
Mo 0.500 0.500 0.271 x2



Below is a geometry-optimized Mg2Ag structure, with properties calculated at the GGA-PBE level.

Formation enthalpy at 0 K   -0.05 eV/atom

Lattice parameters (Å, degrees): 6.537 6.537 6.537 90.00 90.00 90.00
Space group Fm-3m (No. 225)
One atom of each set of equivalent atoms:
Mg 0.250 0.250 0.250 x8
Ag 0.000 0.000 0.000 x4



The highest formation enthalpy at 0 K belongs to which entry?
CaInMo2



Look up the formation enthalpy at 0 K of the first one.
0.65 eV/atom



Among the records above, which one has the highest formation enthalpy at 0 K?
CaInMo2



Which of these has the lowest formation enthalpy at 0 K?
Mg2Ag